(1)
Computed, not measured: a geometry-optimized LaHoPt structure at the PBE level of DFT.

a = 7.0839 Å, b = 13.3944 Å, c = 7.1939 Å
α = 90.00°, β = 90.00°, γ = 90.00°
Last column: nearest neighbours and their distance in Å.
Element x y z (fractional)
La (0.2349, 0.1954, 0.0991)  2 Pt 2.90-2.96
La (0.2349, 0.3046, 0.5991)  2 Pt 2.90-2.96
La (0.2651, 0.6954, 0.0991)  2 Pt 2.90-2.96
La (0.2651, 0.8046, 0.5991)  2 Pt 2.90-2.96
La (0.7349, 0.1954, 0.4009)  2 Pt 2.90-2.96
La (0.7349, 0.3046, 0.9009)  2 Pt 2.90-2.96
La (0.7651, 0.6954, 0.4009)  2 Pt 2.90-2.96
La (0.7651, 0.8046, 0.9009)  2 Pt 2.90-2.96
Ho (0.0013, 0.5313, 0.7534)  4 Pt 2.86-2.91
Ho (0.0013, 0.9687, 0.2534)  4 Pt 2.86-2.91
Ho (0.4987, 0.0313, 0.7534)  4 Pt 2.86-2.91
Ho (0.4987, 0.4687, 0.2534)  4 Pt 2.86-2.91
Ho (0.5013, 0.5313, 0.7466)  4 Pt 2.86-2.91
Ho (0.5013, 0.9687, 0.2466)  4 Pt 2.86-2.91
Ho (0.9987, 0.0313, 0.7466)  4 Pt 2.86-2.91
Ho (0.9987, 0.4687, 0.2466)  4 Pt 2.86-2.91
Pt (0.2426, 0.5975, 0.4586)  4 Ho 2.86-2.91, 2 La 2.90-2.96
Pt (0.2426, 0.9025, 0.9586)  4 Ho 2.86-2.91, 2 La 2.90-2.96
Pt (0.2574, 0.0975, 0.4586)  4 Ho 2.86-2.91, 2 La 2.90-2.96
Pt (0.2574, 0.4025, 0.9586)  4 Ho 2.86-2.91, 2 La 2.90-2.96
Pt (0.7426, 0.5975, 0.0414)  4 Ho 2.86-2.91, 2 La 2.90-2.96
Pt (0.7426, 0.9025, 0.5414)  4 Ho 2.86-2.91, 2 La 2.90-2.96
Pt (0.7574, 0.0975, 0.0414)  4 Ho 2.86-2.91, 2 La 2.90-2.96
Pt (0.7574, 0.4025, 0.5414)  4 Ho 2.86-2.91, 2 La 2.90-2.96

Summary:
E above lowest polymorph   0 meV per atom
DOS at the Fermi energy   3.21 states/eV/f.u.
Density   9.71 Mg/m³
Total magnetization   0.0 μB per cell



(2)
Computed, not measured: a geometry-optimized AcPa4S12 structure at the PBE level of DFT.

a = 8.5955 Å, b = 8.5955 Å, c = 8.5955 Å
α = 109.47°, β = 109.47°, γ = 109.47°
Last column: nearest neighbours and their distance in Å.
Element x y z (fractional)
Ac (0.0000, 0.0000, 0.0000)  12 S 3.32
Pa (0.0000, 0.0000, 0.5000)  6 S 2.63
Pa (0.0000, 0.5000, 0.0000)  6 S 2.63
Pa (0.5000, 0.0000, 0.0000)  6 S 2.63
Pa (0.5000, 0.5000, 0.5000)  6 S 2.63
S (0.1181, 0.8298, 0.2884)  2 Pa 2.63
S (0.1702, 0.2884, 0.4586)  2 Pa 2.63
S (0.1702, 0.7116, 0.8819)  2 Pa 2.63
S (0.2884, 0.1181, 0.8298)  2 Pa 2.63
S (0.2884, 0.4586, 0.1702)  2 Pa 2.63
S (0.4586, 0.1702, 0.2884)  2 Pa 2.63
S (0.5414, 0.8298, 0.7116)  2 Pa 2.63
S (0.7116, 0.5414, 0.8298)  2 Pa 2.63
S (0.7116, 0.8819, 0.1702)  2 Pa 2.63
S (0.8298, 0.2884, 0.1181)  2 Pa 2.63
S (0.8298, 0.7116, 0.5414)  2 Pa 2.63
S (0.8819, 0.1702, 0.7116)  2 Pa 2.63

Summary:
Raw formation energy   -24.931 eV/f.u.
DOS at the Fermi energy   19.28 states/eV/f.u.
Density   5.22 Mg/m³
Total magnetization   0.0 μB per cell



(3)
Computed, not measured: a geometry-optimized Rb2AlBiTe4 structure at the PBE level of DFT.

a = 15.4056 Å, b = 13.7717 Å, c = 8.5350 Å
α = 83.85°, β = 62.72°, γ = 33.42°
Last column: nearest neighbours and their distance in Å.
Element x y z (fractional)
Rb (0.0605, 0.0605, 0.6895)  6 Te 3.97-4.29
Rb (0.3105, 0.3105, 0.9395)  6 Te 3.97-4.29
Rb (0.6895, 0.6895, 0.0605)  6 Te 3.97-4.29
Rb (0.9395, 0.9395, 0.3105)  6 Te 3.97-4.29
Al (0.3750, 0.3750, 0.3750)  4 Te 2.67
Al (0.6250, 0.6250, 0.6250)  4 Te 2.67
Bi (0.1250, 0.1250, 0.1250)  4 Te 3.01
Bi (0.8750, 0.8750, 0.8750)  4 Te 3.01
Te (0.0027, 0.6329, 0.5414)  1 Al 2.67
Te (0.3230, 0.5414, 0.6329)  1 Al 2.67
Te (0.3671, 0.9973, 0.6770)  1 Al 2.67
Te (0.4586, 0.6770, 0.9973)  1 Al 2.67
Te (0.5414, 0.3230, 0.0027)  1 Al 2.67
Te (0.6329, 0.0027, 0.3230)  1 Al 2.67
Te (0.6770, 0.4586, 0.3671)  1 Al 2.67
Te (0.9973, 0.3671, 0.4586)  1 Al 2.67

Summary:
Raw formation energy   -4.925 eV/f.u.
Density   4.16 Mg/m³
Total magnetization   0.0 μB per cell